PBE-GGA TlPdPt2, optimized geometry; calculated formation energy = -1.415 kcal/mol of atoms; space group = P2_1/m; total moment = 0.000 μB per atom
1.0
4.174 0.000 0.000
0.000 5.791 -0.856
0.000 0.249 5.674
Tl Pd Pt
2 2 4
direct
0.250 0.356 0.154 Tl
0.750 0.644 0.846 Tl
0.250 0.372 0.642 Pd
0.750 0.628 0.358 Pd
0.250 0.888 0.617 Pt
0.750 0.112 0.383 Pt
0.250 0.866 0.125 Pt
0.750 0.134 0.875 Pt